[1]
A relaxed Hg2RhPb crystal. Source: the Alexandria database, functional GGA-PBE.

**Total magnetic moment**: 0.00 μB/atom
**ΔH_f (0 K)**: 0.2759 eV/atom
**Crystal system**: orthorhombic

Unit cell a=5.278 b=5.278 c=3.440 alpha=90.00 beta=90.00 gamma=114.43
Atoms (fractional coordinates):
Hg: 0.000 0.500 0.000
Hg: 0.500 0.000 0.000
Rh: 0.000 0.000 0.500
Pb: 0.500 0.500 0.500

***

[2]
A relaxed HgRhPb crystal. Source: the Alexandria database, functional GGA-PBE.

**Total magnetic moment**: 0.00 μB/atom
**ΔH_f (0 K)**: 0.0660 eV/atom
**Crystal system**: cubic

Unit cell a=4.632 b=4.632 c=4.632 alpha=60.00 beta=60.00 gamma=60.00
Atoms (fractional coordinates):
Hg: 0.000 0.000 0.000
Rh: 0.250 0.250 0.250
Pb: 0.500 0.500 0.500

***

[3]
A relaxed Hg2RhPb crystal. Source: the Alexandria database, functional GGA-PBE.

**Total magnetic moment**: 0.00 μB/atom
**ΔH_f (0 K)**: 0.1328 eV/atom
**Crystal system**: trigonal

Unit cell a=9.326 b=9.326 c=9.326 alpha=21.23 beta=21.23 gamma=21.23
Atoms (fractional coordinates):
Hg: 0.000 0.000 0.000
Hg: 0.242 0.242 0.242
Rh: 0.740 0.740 0.740
Pb: 0.477 0.477 0.477

***

[4]
A relaxed Hg2RhPb2 crystal. Source: the Alexandria database, functional GGA-PBE.

**Total magnetic moment**: 0.00 μB/atom
**ΔH_f (0 K)**: 0.2320 eV/atom
**Crystal system**: tetragonal

Unit cell a=7.146 b=7.146 c=5.349 alpha=90.00 beta=90.00 gamma=90.00
Atoms (fractional coordinates):
Hg: 0.171 0.329 0.000
Hg: 0.329 0.829 0.000
Hg: 0.671 0.171 0.000
Hg: 0.829 0.671 0.000
Rh: 0.000 0.000 0.500
Rh: 0.500 0.500 0.500
Pb: 0.164 0.664 0.500
Pb: 0.336 0.164 0.500
Pb: 0.664 0.836 0.500
Pb: 0.836 0.336 0.500

***

[5]
A relaxed HgRhPb crystal. Source: the Alexandria database, functional GGA-PBE.

**Total magnetic moment**: 0.00 μB/atom
**ΔH_f (0 K)**: 0.4932 eV/atom
**Crystal system**: cubic

Unit cell a=4.684 b=4.684 c=4.684 alpha=60.00 beta=60.00 gamma=60.00
Atoms (fractional coordinates):
Hg: 0.000 0.000 0.000
Rh: 0.500 0.500 0.500
Pb: 0.750 0.750 0.750

***

[6]
A relaxed Hg2RhPb crystal. Source: the Alexandria database, functional GGA-PBE.

**Total magnetic moment**: 0.00 μB/atom
**ΔH_f (0 K)**: 0.1091 eV/atom
**Crystal system**: orthorhombic

Unit cell a=6.830 b=6.830 c=6.830 alpha=153.21 beta=139.81 gamma=48.95
Atoms (fractional coordinates):
Hg: 0.196 0.196 0.000
Hg: 0.804 0.804 0.000
Rh: 0.000 0.500 0.500
Pb: 0.500 0.000 0.500

***

[7]
A relaxed Hg2RhPb crystal. Source: the Alexandria database, functional GGA-PBE.

**Total magnetic moment**: 0.00 μB/atom
**ΔH_f (0 K)**: 0.1921 eV/atom
**Crystal system**: monoclinic

Unit cell a=3.435 b=4.919 c=5.553 alpha=90.00 beta=106.15 gamma=90.00
Atoms (fractional coordinates):
Hg: 0.137 0.000 0.275
Hg: 0.863 0.000 0.725
Rh: 0.500 0.500 0.500
Pb: 0.500 0.500 0.000

***

[8]
A relaxed HgRhPb4 crystal. Source: the Alexandria database, functional GGA-PBE.

**Total magnetic moment**: 0.00 μB/atom
**ΔH_f (0 K)**: -0.0564 eV/atom
**Crystal system**: monoclinic

Unit cell a=8.008 b=8.008 c=6.007 alpha=102.19 beta=102.19 gamma=111.19
Atoms (fractional coordinates):
Hg: 0.123 0.877 0.750
Hg: 0.877 0.123 0.250
Rh: 0.493 0.507 0.750
Rh: 0.507 0.493 0.250
Pb: 0.150 0.301 0.851
Pb: 0.213 0.555 0.423
Pb: 0.301 0.150 0.351
Pb: 0.445 0.787 0.077
Pb: 0.555 0.213 0.923
Pb: 0.699 0.850 0.649
Pb: 0.787 0.445 0.577
Pb: 0.850 0.699 0.149